No. 1
La5Tb2PrSm after structural relaxation. Source: Alexandria via LeMat-Bulk, functional PBE.

## Properties
Total magnetic moment   0.00 μB/f.u.
Formation enthalpy at 0 K   259 meV/atom

Unit cell a=8.1019 b=8.1019 c=10.0646 alpha=90.00 beta=90.00 gamma=90.00
Positions (direct):
La  0.0000  0.0000  0.0000
La  0.2022  0.2978  0.2614
La  0.2022  0.2978  0.7386
La  0.2978  0.7978  0.2614
La  0.2978  0.7978  0.7386
La  0.5000  0.5000  0.0000
La  0.7022  0.2022  0.2614
La  0.7022  0.2022  0.7386
La  0.7978  0.7022  0.2614
La  0.7978  0.7022  0.7386
Tb  0.1290  0.6290  0.0000
Tb  0.3710  0.1290  0.0000
Tb  0.6290  0.8710  0.0000
Tb  0.8710  0.3710  0.0000
Pr  0.0000  0.0000  0.5000
Pr  0.5000  0.5000  0.5000
Sm  0.0000  0.5000  0.5000
Sm  0.5000  0.0000  0.5000



No. 2
CaDy5Tl4 after structural relaxation. Source: Alexandria via LeMat-Bulk, functional PBE.

## Properties
Total magnetic moment   0.00 μB/f.u.
Formation enthalpy at 0 K   21 meV/atom

Unit cell a=7.4904 b=10.4637 c=8.5962 alpha=90.00 beta=90.00 gamma=90.00
Positions (direct):
Ca  0.2500  0.2500  0.2163
Ca  0.7500  0.7500  0.7837
Dy  0.0039  0.0485  0.7137
Dy  0.0039  0.4515  0.7137
Dy  0.2500  0.7500  0.8684
Dy  0.4961  0.0485  0.7137
Dy  0.4961  0.4515  0.7137
Dy  0.5039  0.5485  0.2863
Dy  0.5039  0.9515  0.2863
Dy  0.7500  0.2500  0.1316
Dy  0.9961  0.5485  0.2863
Dy  0.9961  0.9515  0.2863
Tl  0.0433  0.7500  0.5423
Tl  0.2500  0.0176  0.0043
Tl  0.2500  0.4824  0.0043
Tl  0.4567  0.7500  0.5423
Tl  0.5433  0.2500  0.4577
Tl  0.7500  0.5176  0.9957
Tl  0.7500  0.9824  0.9957
Tl  0.9567  0.2500  0.4577



No. 3
La6Pr5Ho after structural relaxation. Source: Alexandria via LeMat-Bulk, functional PBE.

## Properties
Offset from the most stable computed form   3.0 meV per atom
Total magnetic moment   0.00 μB/f.u.
Formation enthalpy at 0 K   13 meV/atom

Unit cell a=6.4152 b=7.4316 c=9.8284 alpha=112.20 beta=90.32 gamma=90.08
Positions (direct):
La  0.0002  0.2471  0.0002
La  0.9998  0.7529  0.9998
La  0.3347  0.0829  0.6685
La  0.3346  0.5853  0.6684
La  0.6654  0.4147  0.3316
La  0.6653  0.9171  0.3315
Pr  0.1649  0.6664  0.3330
Pr  0.1678  0.1658  0.3317
Pr  0.5000  0.5000  0.0000
Pr  0.8322  0.8342  0.6683
Pr  0.8351  0.3336  0.6670
Ho  0.5000  0.0000  0.0000



No. 4
CePmGdTm after structural relaxation. Source: Alexandria via LeMat-Bulk, functional PBE.

## Properties
Total magnetic moment   10.40 μB/f.u.
Formation enthalpy at 0 K   170 meV/atom

Unit cell a=5.6879 b=5.6879 c=5.6879 alpha=60.00 beta=60.00 gamma=60.00
Positions (direct):
Ce  0.0000  0.0000  0.0000
Pm  0.2500  0.2500  0.2500
Gd  0.7500  0.7500  0.7500
Tm  0.5000  0.5000  0.5000



No. 5
Ac2ZnPt2 after structural relaxation. Source: Alexandria via LeMat-Bulk, functional PBE.

## Properties
Offset from the most stable computed form   4.9 meV per atom
Total magnetic moment   0.00 μB/f.u.
Formation enthalpy at 0 K   -936 meV/atom

Unit cell a=7.6969 b=7.6969 c=7.6969 alpha=125.36 beta=76.27 gamma=131.19
Positions (direct):
Ac  0.1429  0.1763  0.3192
Ac  0.3571  0.6763  0.0334
Ac  0.6429  0.3237  0.9666
Ac  0.8571  0.8237  0.6808
Zn  0.2500  0.7500  0.5000
Zn  0.7500  0.2500  0.5000
Pt  0.1110  0.7346  0.8457
Pt  0.3890  0.2346  0.6236
Pt  0.6110  0.7654  0.3764
Pt  0.8890  0.2653  0.1543



No. 6
Ba2NbTl2S6 after structural relaxation. Source: Alexandria via LeMat-Bulk, functional PBE.

## Properties
Total magnetic moment   0.00 μB/f.u.

Unit cell a=7.4951 b=7.4951 c=7.1854 alpha=98.03 beta=98.03 gamma=118.22
Positions (direct):
Ba  0.1652  0.8348  0.0000
Ba  0.8348  0.1652  0.0000
Nb  0.5000  0.5000  0.0000
Tl  0.3541  0.6459  0.5000
Tl  0.6459  0.3541  0.5000
S  0.1729  0.4458  0.7954
S  0.2959  0.2959  0.2204
S  0.4458  0.1729  0.7954
S  0.5542  0.8271  0.2046
S  0.7041  0.7041  0.7796
S  0.8271  0.5542  0.2046



No. 7
CrIrAu after structural relaxation. Source: Alexandria via LeMat-Bulk, functional PBE.

## Properties
Offset from the most stable computed form   0.0 meV per atom
Total magnetic moment   0.45 μB/f.u.
Formation enthalpy at 0 K   90 meV/atom

Unit cell a=6.1392 b=6.1392 c=6.1392 alpha=153.92 beta=153.92 gamma=37.21
Positions (direct):
Cr  0.0000  0.0000  0.0000
Ir  0.3657  0.3657  0.0000
Au  0.6731  0.6731  0.0000



No. 8
LiAlNi2 after structural relaxation. Source: Alexandria via LeMat-Bulk, functional PBE.

## Properties
Total magnetic moment   0.00 μB/f.u.
Formation enthalpy at 0 K   -332 meV/atom

Unit cell a=4.0485 b=4.0537 c=5.7356 alpha=90.00 beta=90.00 gamma=90.00
Positions (direct):
Li  0.0000  0.0000  0.0000
Li  0.0000  0.5000  0.2489
Al  0.0000  0.5000  0.7371
Al  0.5000  0.0000  0.2611
Ni  0.0000  0.0000  0.5047
Ni  0.5000  0.0000  0.7573
Ni  0.5000  0.5000  0.4991
Ni  0.5000  0.5000  0.9919



No. 9
In2PbW2 after structural relaxation. Source: Alexandria via LeMat-Bulk, functional PBE.

## Properties
Total magnetic moment   0.00 μB/f.u.
Formation enthalpy at 0 K   1006 meV/atom

Unit cell a=7.4963 b=7.4963 c=7.4963 alpha=149.51 beta=149.51 gamma=43.67
Positions (direct):
In  0.2500  0.7500  0.5000
In  0.7500  0.2500  0.5000
Pb  0.0000  0.0000  0.0000
W  0.4088  0.4088  0.0000
W  0.5912  0.5912  0.0000



| no. | calculated total energy (eV/atom) | N(E_F) (states/eV/cell) |
| --- | --- | --- |
| 1 | -4.563 | 29.4 |
| 2 | -3.427 | 19.6 |
| 3 | -4.823 | 21.7 |
| 4 | -7.140 | 9.5 |
| 5 | -5.251 | 4.2 |
| 6 | -5.011 | 1.6 |
| 7 | -7.164 | 3.3 |
| 8 | -4.637 | 4.7 |
| 9 | -6.012 | 3.2 |